# 1
Sm8Sb2Te3: relaxed, GGA-PBE.

The space group is C2/m (No. 12) and the conventional cell measures 14.365, 9.238 and 6.884 Å, with angles of 90.00, 91.80 and 90.00 degrees. The asymmetric unit holds Sm at (0.128, 0.000, 0.155), Sm at (0.147, 0.500, 0.098), Sm at (0.154, 0.197, 0.692), Sb at (0.204, 0.500, 0.544), Te at (0.000, 0.000, 0.500) and Te at (0.000, 0.259, 0.000).

The total energy is -133.19 eV/cell.



# 2
Sm3Sb3Te: relaxed, GGA-PBE.

The space group is R3m (No. 160, hexagonal axes) and the conventional cell measures 9.5062, 9.5062 and 8.1228 Å, with angles of 90.00, 90.00 and 120.00 degrees. The asymmetric unit holds Sm at (0.0297, 0.5149, 0.0000), Sb at (0.2181, 0.4363, 0.7177) and Te at (0.0000, 0.0000, 0.5559).

The total energy is -107.41 eV/cell.



# 3
Sm6Sb2Te: relaxed, GGA-PBE.

The space group is P2_1/c (No. 14) and the conventional cell measures 6.652, 8.362 and 12.225 Å, with angles of 90.00, 122.56 and 90.00 degrees. The asymmetric unit holds Sm at (0.065, 0.190, 0.444), Sm at (0.303, 0.662, 0.443), Sm at (0.363, 0.031, 0.221), Sb at (0.168, 0.123, 0.747) and Te at (0.500, 0.000, 0.500).

The total energy is -93.03 eV/cell.



# 4
Sm3Sb2Te: relaxed, GGA-PBE.

The space group is Imma (No. 74) and the conventional cell measures 7.960, 11.260 and 9.876 Å, with angles of 90.00, 90.00 and 90.00 degrees. The asymmetric unit holds Sm at (0.222, 0.000, 0.000), Sm at (0.250, 0.250, 0.250), Sb at (0.000, 0.031, 0.286) and Te at (0.000, 0.250, 0.980).

The total energy is -122.97 eV/cell.



Short version: size of the total moment = 0.00, 0.00, 0.00, 0.00 μB per formula unit, in the order given.
Short version: V = 35.1, 30.3, 31.8, 36.9 A^3/atom, in the order given.
Short version: formation energy (no corrections) = -82.9, -84.6, -73.1, -83.6 kJ per mole of atoms, in the order given.